# 1
A relaxed KHg2Se crystal, computed with PBE.

Summary:
ρ: 6.62 Mg/m³
Size of the total moment: 0.00 μB per cell
Space-group type: I-42d
Density of states at the Fermi level: 0.984 states/eV/atom
Raw formation energy: -0.323 eV/atom

Cell lengths 9.1821, 9.1821, 7.1897 Å; angles 50.32, 50.32, 90.00 degrees
Last column: nearest neighbours and their distance in Å.
Fractional positions:
K 0.5000 0.5000 0.0000  2 Se 3.09
Se 0.0000 0.0000 0.0000  4 Hg 2.96, 2 K 3.09
K 0.2500 0.7500 0.5000  2 Se 3.09
Hg 0.3750 0.3102 0.7500  2 Se 2.96, 2 Hg 3.31
Hg 0.0602 0.6250 0.2500  2 Se 2.96, 2 Hg 3.31
Se 0.7500 0.2500 0.5000  4 Hg 2.96, 2 K 3.09
Hg 0.6898 0.1250 0.2500  2 Se 2.96, 2 Hg 3.31
Hg 0.8750 0.9398 0.7500  2 Se 2.96, 2 Hg 3.31

***

# 2
A relaxed KHg2Se crystal, computed with PBE.

Summary:
ρ: 7.46 Mg/m³
Size of the total moment: 0.00 μB per cell
Space-group type: C2/m
Density of states at the Fermi level: 0.345 states/eV/atom
Raw formation energy: -0.266 eV/atom

Cell lengths 7.1503, 7.1503, 3.1961 Å; angles 77.72, 77.72, 126.56 degrees
Last column: nearest neighbours and their distance in Å.
Fractional positions:
Se 0.0000 0.5000 0.5000  2 Se 3.20, 4 K 3.22-3.29
Hg 0.0000 0.0000 0.0000  6 Hg 3.20-3.29
K 0.5000 0.0000 0.5000  2 K 3.20, 4 Se 3.22-3.29
Hg 0.5000 0.5000 0.0000  6 Hg 3.20-3.29

***

# 3
A relaxed KHgSe2 crystal, computed with PBE.

Summary:
ρ: 5.06 Mg/m³
Size of the total moment: 0.65 μB per cell
Space-group type: R3m
Density of states at the Fermi level: 0.885 states/eV/atom
Raw formation energy: -0.236 eV/atom

Cell lengths 7.1877, 7.1877, 7.1877 Å; angles 38.68, 38.68, 38.68 degrees
Last column: nearest neighbours and their distance in Å.
Fractional positions:
Hg 0.5163 0.5163 0.5163  6 Se 3.37-3.62, 3 K 3.57
Se 0.9678 0.9678 0.9678  3 Se 2.78
Se 0.2805 0.2805 0.2805  3 Se 2.78
K 0.7354 0.7354 0.7354  6 Se 3.41-3.66, 3 Hg 3.57

***

# 4
A relaxed KHg2Se crystal, computed with PBE.

Summary:
ρ: 6.91 Mg/m³
Size of the total moment: 0.00 μB per cell
Space-group type: R-3m
Density of states at the Fermi level: 0.462 states/eV/atom
Raw formation energy: -0.289 eV/atom

Cell lengths 6.1625, 6.1625, 6.1625 Å; angles 49.59, 49.59, 49.59 degrees
Last column: nearest neighbours and their distance in Å.
Fractional positions:
Se 0.7500 0.7500 0.7500  6 Hg 3.13
Hg 0.0259 0.0259 0.0259  3 Se 3.13, 3 K 3.47
Hg 0.4741 0.4741 0.4741  3 Se 3.13, 3 K 3.47
K 0.2500 0.2500 0.2500  8 Hg 3.47-3.63

***

# 5
A relaxed KHg2Se crystal, computed with PBE.

Summary:
ρ: 7.46 Mg/m³
Size of the total moment: 0.00 μB per cell
Space-group type: Cmmm
Density of states at the Fermi level: 0.622 states/eV/atom
Raw formation energy: -0.190 eV/atom

Cell lengths 6.7742, 6.7742, 3.1268 Å; angles 90.00, 90.00, 126.30 degrees
Last column: nearest neighbours and their distance in Å.
Fractional positions:
Se 0.0000 0.5000 0.5000  2 K 3.06, 2 Se 3.13
K 0.5000 0.0000 0.5000  2 Se 3.06, 2 K 3.13
Hg 0.5000 0.5000 0.0000  4 Hg 3.06-3.13
Hg 0.0000 0.0000 0.0000  4 Hg 3.06-3.13

***

# 6
A relaxed KHgSe2 crystal, computed with PBE.

Summary:
ρ: 4.46 Mg/m³
Size of the total moment: 0.00 μB per cell
Space-group type: C2/m
Density of states at the Fermi level: 0.535 states/eV/atom
Raw formation energy: -0.385 eV/atom

Cell lengths 6.3012, 6.3012, 5.9875 Å; angles 71.95, 71.95, 41.26 degrees
Last column: nearest neighbours and their distance in Å.
Fractional positions:
Se 0.4953 0.4953 0.6515  2 Se 2.53
K 0.7500 0.7500 0.7500  6 Se 3.25-3.54
Se 0.0047 0.0047 0.8485  2 Se 2.53
Hg 0.2500 0.2500 0.2500  4 K 3.73, 6 Se 3.79-3.87

***

# 7
A relaxed K2Hg2Se3 crystal, computed with PBE.

Summary:
ρ: 5.30 Mg/m³
Size of the total moment: 0.00 μB per cell
Space-group type: C2/c
Raw formation energy: -0.675 eV/atom

Cell lengths 7.6529, 11.4855, 11.4855 Å; angles 85.47, 70.53, 70.53 degrees
Last column: nearest neighbours and their distance in Å.
Fractional positions:
Se 0.3427 0.9876 0.2314  2 Hg 2.69-2.70
Se 0.7209 0.5714 0.1469  3 Hg 2.73-2.87
K 0.7500 0.5695 0.4305  6 Se 3.34-3.46
Se 0.6573 0.0124 0.7686  2 Hg 2.69-2.70
Se 0.1573 0.7686 0.0124  2 Hg 2.69-2.70
K 0.2500 0.7145 0.2855  6 Se 3.30-3.47, 2 Hg 3.64
K 0.3901 0.2022 0.0264  5 Se 3.21-3.53
Hg 0.8666 0.7949 0.6423  4 Se 2.70-2.80
Se 0.2209 0.1469 0.5714  3 Hg 2.73-2.87
Se 0.2324 0.4177 0.2734  3 Hg 2.73-2.80
Se 0.8427 0.2314 0.9876  2 Hg 2.69-2.70
Hg 0.1073 0.5516 0.0920  4 Se 2.69-2.87
Se 0.2676 0.7266 0.5823  3 Hg 2.73-2.80
K 0.2500 0.4305 0.5695  6 Se 3.34-3.46
K 0.6099 0.7978 0.9736  5 Se 3.21-3.53
K 0.7500 0.2855 0.7145  6 Se 3.30-3.47, 2 Hg 3.64
K 0.8901 0.0264 0.2022  5 Se 3.21-3.53
Hg 0.3927 0.9080 0.4484  4 Se 2.69-2.87
Hg 0.3666 0.6423 0.7949  4 Se 2.70-2.80
Se 0.7791 0.8531 0.4286  3 Hg 2.73-2.87
Hg 0.6334 0.3577 0.2051  4 Se 2.70-2.80
Se 0.7676 0.5823 0.7266  3 Hg 2.73-2.80
Se 0.2791 0.4286 0.8531  3 Hg 2.73-2.87
K 0.1099 0.9736 0.7978  5 Se 3.21-3.53
Hg 0.8927 0.4484 0.9080  4 Se 2.69-2.87
Hg 0.6073 0.0920 0.5516  4 Se 2.69-2.87
Se 0.7324 0.2734 0.4177  3 Hg 2.73-2.80
Hg 0.1334 0.2051 0.3577  4 Se 2.70-2.80

***

# 8
A relaxed K4HgSe crystal, computed with PBE.

Summary:
ρ: 2.79 Mg/m³
Size of the total moment: 0.00 μB per cell
Space-group type: F-43m
Density of states at the Fermi level: 0.182 states/eV/atom
Raw formation energy: -0.070 eV/atom

Cell lengths 7.1574, 7.1574, 7.1574 Å; angles 60.00, 60.00, 60.00 degrees
Last column: nearest neighbours and their distance in Å.
Fractional positions:
K 0.8694 0.3768 0.3768  6 K 3.53-3.63
K 0.3768 0.3768 0.8694  6 K 3.53-3.63
K 0.3768 0.3768 0.3768  6 K 3.53-3.63
K 0.3768 0.8694 0.3768  6 K 3.53-3.63
Se 0.7500 0.7500 0.7500  12 K 4.19, 4 Hg 4.38
Hg 0.0000 0.0000 0.0000  12 K 4.20, 4 Se 4.38

***

# 9
A relaxed K3Hg2Se4 crystal, computed with PBE.

Summary:
ρ: 4.95 Mg/m³
Size of the total moment: 0.00 μB per cell
Space-group type: C2/m
Density of states at the Fermi level: 0.431 states/eV/atom
Raw formation energy: -0.692 eV/atom

Cell lengths 4.6219, 7.4609, 8.9892 Å; angles 110.24, 104.89, 90.00 degrees
Last column: nearest neighbours and their distance in Å.
Fractional positions:
Se 0.2116 0.1922 0.4233  3 Hg 2.77-2.91
K 0.1331 0.5589 0.2662  7 Se 3.45-3.53, 2 Hg 3.77
Hg 0.3385 0.0226 0.6772  4 Se 2.69-2.91
Se 0.4875 0.3041 0.9749  1 Hg 2.69, 1 Se 2.80
Se 0.5125 0.6959 0.0251  1 Hg 2.69, 1 Se 2.80
Hg 0.6615 0.9774 0.3228  4 Se 2.69-2.91
K 0.0000 0.0000 0.0000  6 Se 3.30-3.44, 4 Hg 3.68
Se 0.7884 0.8078 0.5767  3 Hg 2.77-2.91
K 0.8669 0.4411 0.7338  7 Se 3.45-3.53, 2 Hg 3.77

***

# 10
A relaxed KHg3Se crystal, computed with PBE.

Summary:
ρ: 4.63 Mg/m³
Size of the total moment: 1.00 μB per cell
Space-group type: Pm-3m
Density of states at the Fermi level: 2.146 states/eV/atom
Raw formation energy: 0.306 eV/atom

Cell lengths 6.3697, 6.3697, 6.3697 Å; angles 90.00, 90.00, 90.00 degrees
Last column: nearest neighbours and their distance in Å.
Fractional positions:
Hg 0.0000 0.5000 0.0000  2 K 3.18
K 0.0000 0.0000 0.0000  6 Hg 3.18
Hg 0.5000 0.0000 0.0000  2 K 3.18
Hg 0.0000 0.0000 0.5000  2 K 3.18
Se 0.5000 0.5000 0.5000  12 Hg 4.50

***

# 11
A relaxed KHgSe2 crystal, computed with PBE.

Summary:
ρ: 5.44 Mg/m³
Size of the total moment: 0.00 μB per cell
Space-group type: P4mm
Density of states at the Fermi level: 0.071 states/eV/atom
Raw formation energy: -0.307 eV/atom

Cell lengths 3.9516, 3.9516, 7.7706 Å; angles 90.00, 90.00, 90.00 degrees
Last column: nearest neighbours and their distance in Å.
Fractional positions:
Se 0.5000 0.5000 0.1580  4 Se 2.83, 1 K 3.08
Se 0.0000 0.0000 0.1030  4 Se 2.83, 1 Hg 2.91
K 0.5000 0.5000 0.7617  1 Se 3.08
Hg 0.0000 0.0000 0.4773  1 Se 2.91

***

# 12
A relaxed KHgSe2 crystal, computed with PBE.

Summary:
ρ: 6.45 Mg/m³
Size of the total moment: 0.00 μB per cell
Space-group type: Fm-3m
Density of states at the Fermi level: 1.350 states/eV/atom
Raw formation energy: -0.137 eV/atom

Cell lengths 5.2514, 5.2514, 5.2514 Å; angles 60.00, 60.00, 60.00 degrees
Last column: nearest neighbours and their distance in Å.
Fractional positions:
Se 0.7500 0.7500 0.7500  4 Hg 3.22, 4 K 3.22
Se 0.2500 0.2500 0.2500  4 Hg 3.22, 4 K 3.22
K 0.0000 0.0000 0.0000  8 Se 3.22
Hg 0.5000 0.5000 0.5000  8 Se 3.22

***

> What is the formula in the third record?

KHgSe2